! Sm8GaSe6 | Alexandria | PBE-GGA | optimized geometry; values from VASP
! Energy relative to the elements, uncorrected, kJ/mol of atoms: -128.7
! Total moment, μB/f.u.: 0.00
! DOS(E_F), states/eV/f.u.: 12.9
! SG: P-3, No. 147
! Uncorrected energy, eV for the cell shown: -81.70
&SYSTEM
  ibrav = 0, nat = 15, ntyp = 3
/
ATOMIC_SPECIES
Sm 150.36 Sm.upf
Ga 69.72 Ga.upf
Se 78.96 Se.upf
ATOMIC_POSITIONS angstrom
Sm 3.115 8.961 -2.132
Sm 3.115 6.641 3.472
Sm 3.115 2.948 -1.340
Sm 1.052 0.313 7.487
Sm 1.052 2.634 1.883
Sm 1.052 6.327 6.695
Sm 3.120 3.092 5.355
Sm 1.047 6.183 0.000
Ga 2.084 0.000 0.000
Se 3.124 6.009 -2.072
Se 3.124 8.065 0.885
Se 3.124 4.476 1.187
Se 1.044 3.266 7.427
Se 1.044 1.210 4.470
Se 1.044 4.799 4.168
CELL_PARAMETERS angstrom
4.167 0.000 0.000
0.000 9.275 -5.355
0.000 0.000 10.710